HfTi3As PBE optimized geometry; crystal system = cubic
1.0
4.697 0.000 0.000
0.000 4.697 0.000
0.000 0.000 4.697
Ti As Hf
3 1 1
direct
0.000 0.000 0.500
0.500 0.000 0.000
0.000 0.500 0.000
0.000 0.000 0.000
0.500 0.500 0.500

***

HfTi2As PBE optimized geometry; crystal system = orthorhombic
1.0
-0.558 -0.621 3.267
-2.844 -2.912 -1.040
7.401 -6.609 -1.733
Ti As Hf
4 2 2
direct
0.757 0.250 0.513
0.977 0.750 0.955
0.023 0.250 0.045
0.243 0.750 0.487
0.844 0.750 0.687
0.156 0.250 0.313
0.390 0.250 0.779
0.610 0.750 0.221

***

Number 1: energy of formation from the pure elements 0.099 eV/atom. Number 2: energy of formation from the pure elements -0.503 eV/atom.